[1]
A relaxed Ge2BiPd2 crystal. Source: the Open Quantum Materials Database, functional PBE.

Cell: 4.456 4.456 9.886 Å, 90.00 90.00 90.00°
Space group I4/mmm (No. 139)
One atom of each set of equivalent atoms:
1 Ge 0.000 0.000 0.125 (multiplicity 4)
2 Bi 0.000 0.000 0.500 (multiplicity 2)
3 Pd 0.000 0.500 0.250 (multiplicity 4)

=====

[2]
A relaxed ErMgCu crystal. Source: the Open Quantum Materials Database, functional PBE.

Cell: 6.529 6.529 6.529 Å, 90.00 90.00 90.00°
Space group F-43m (No. 216)
One atom of each set of equivalent atoms:
1 Er 0.000 0.000 0.000 (multiplicity 4)
2 Mg 0.250 0.250 0.750 (multiplicity 4)
3 Cu 0.000 0.000 0.500 (multiplicity 4)

=====

[3]
A relaxed Cu2Te2Pb crystal. Source: the Open Quantum Materials Database, functional PBE.

Cell: 4.389 8.410 7.439 Å, 90.00 115.62 90.00°
Space group P2_1/c (No. 14)
One atom of each set of equivalent atoms:
1 Cu 0.104 0.130 0.456 (multiplicity 4)
2 Te 0.221 0.649 0.810 (multiplicity 4)
3 Pb 0.500 0.000 0.000 (multiplicity 2)

=====

[4]
A relaxed NaTmIn crystal. Source: the Open Quantum Materials Database, functional PBE.

Summary:
Energy above the most stable polymorph in this dataset, meV per atom: 0

Cell: 6.997 6.997 6.997 Å, 90.00 90.00 90.00°
Space group F-43m (No. 216)
One atom of each set of equivalent atoms:
1 Na 0.000 0.000 0.000 (multiplicity 4)
2 Tm 0.250 0.250 0.250 (multiplicity 4)
3 In 0.250 0.250 0.750 (multiplicity 4)

=====

[5]
A relaxed NbPO2F6 crystal. Source: the Open Quantum Materials Database, functional PBE.

Cell: 5.081 6.674 6.960 Å, 87.67 84.78 79.44°
Space group P-1 (No. 2)
One atom of each set of equivalent atoms:
1 Nb 0.078 0.232 0.254 (multiplicity 2)
2 P 0.284 0.326 0.794 (multiplicity 2)
3 O 0.050 0.455 0.704 (multiplicity 2)
4 O 0.286 0.323 0.008 (multiplicity 2)
5 F 0.132 0.827 0.524 (multiplicity 2)
6 F 0.197 0.966 0.166 (multiplicity 2)
7 F 0.221 0.726 0.899 (multiplicity 2)
8 F 0.305 0.105 0.730 (multiplicity 2)
9 F 0.380 0.255 0.385 (multiplicity 2)
10 F 0.455 0.613 0.293 (multiplicity 2)

=====

[6]
A relaxed LiSmFeSe3 crystal. Source: the Open Quantum Materials Database, functional PBE.

Summary:
Energy above the most stable polymorph in this dataset, meV per atom: 0

Cell: 7.917 3.993 9.604 Å, 90.00 100.17 90.00°
Space group P2_1/m (No. 11)
One atom of each set of equivalent atoms:
1 Li 0.158 0.250 0.129 (multiplicity 2)
2 Sm 0.344 0.750 0.835 (multiplicity 2)
3 Fe 0.069 0.250 0.582 (multiplicity 2)
4 Se 0.074 0.250 0.839 (multiplicity 2)
5 Se 0.235 0.750 0.524 (multiplicity 2)
6 Se 0.391 0.750 0.147 (multiplicity 2)

=====

[7]
A relaxed RbAsAu crystal. Source: the Open Quantum Materials Database, functional PBE.

Summary:
Energy above the most stable polymorph in this dataset, meV per atom: 590

Cell: 7.466 7.466 7.466 Å, 90.00 90.00 90.00°
Space group F-43m (No. 216)
One atom of each set of equivalent atoms:
1 Rb 0.000 0.000 0.000 (multiplicity 4)
2 As 0.250 0.250 0.750 (multiplicity 4)
3 Au 0.250 0.250 0.250 (multiplicity 4)

=====

[8]
A relaxed Nd2Sm2C2I4Cl crystal. Source: the Open Quantum Materials Database, functional PBE.

Summary:
Energy above the most stable polymorph in this dataset, meV per atom: 0

Cell: 20.156 3.983 8.413 Å, 90.00 102.12 90.00°
Space group C2/m (No. 12)
One atom of each set of equivalent atoms:
1 Nd 0.000 0.000 0.203 (multiplicity 4)
2 Sm 0.149 0.500 0.079 (multiplicity 4)
3 C 0.035 0.500 0.018 (multiplicity 4)
4 I 0.162 0.000 0.363 (multiplicity 4)
5 I 0.169 0.000 0.807 (multiplicity 4)
6 Cl 0.000 0.500 0.500 (multiplicity 2)

=====

[9]
A relaxed PaAgBi crystal. Source: the Open Quantum Materials Database, functional PBE.

Summary:
Energy above the most stable polymorph in this dataset, meV per atom: 0

Cell: 6.925 6.925 6.925 Å, 90.00 90.00 90.00°
Space group F-43m (No. 216)
One atom of each set of equivalent atoms:
1 Pa 0.000 0.000 0.000 (multiplicity 4)
2 Ag 0.250 0.250 0.750 (multiplicity 4)
3 Bi 0.000 0.000 0.500 (multiplicity 4)

=====

[10]
A relaxed InSnAuO3 crystal. Source: the Open Quantum Materials Database, functional PBE.

Cell: 10.325 3.229 10.591 Å, 90.00 90.00 90.00°
Space group Pnma (No. 62)
One atom of each set of equivalent atoms:
1 In 0.213 0.250 0.119 (multiplicity 4)
2 Sn 0.027 0.750 0.367 (multiplicity 4)
3 Au 0.097 0.750 0.941 (multiplicity 4)
4 O 0.082 0.750 0.705 (multiplicity 4)
5 O 0.106 0.250 0.479 (multiplicity 4)
6 O 0.178 0.750 0.250 (multiplicity 4)

=====

[11]
A relaxed PmSmNO crystal. Source: the Open Quantum Materials Database, functional PBE.

Summary:
Energy above the most stable polymorph in this dataset, meV per atom: 1

Cell: 8.309 6.942 5.073 Å, 90.00 90.00 90.00°
Space group Pbcm (No. 57)
One atom of each set of equivalent atoms:
1 Pm 0.127 0.083 0.250 (multiplicity 4)
2 Sm 0.377 0.574 0.250 (multiplicity 4)
3 N 0.127 0.071 0.750 (multiplicity 4)
4 O 0.372 0.593 0.750 (multiplicity 4)

=====

[12]
A relaxed PmBiAu crystal. Source: the Open Quantum Materials Database, functional PBE.

Summary:
Energy above the most stable polymorph in this dataset, meV per atom: 0

Cell: 7.036 7.036 7.036 Å, 90.00 90.00 90.00°
Space group F-43m (No. 216)
One atom of each set of equivalent atoms:
1 Pm 0.000 0.000 0.000 (multiplicity 4)
2 Bi 0.000 0.000 0.500 (multiplicity 4)
3 Au 0.250 0.250 0.750 (multiplicity 4)

=====

[13]
A relaxed LuScAu2 crystal. Source: the Open Quantum Materials Database, functional PBE.

Cell: 6.736 6.736 6.736 Å, 90.00 90.00 90.00°
Space group F-43m (No. 216)
One atom of each set of equivalent atoms:
1 Lu 0.000 0.000 0.000 (multiplicity 4)
2 Sc 0.250 0.250 0.750 (multiplicity 4)
3 Au 0.000 0.000 0.500 (multiplicity 4)
4 Au 0.250 0.250 0.250 (multiplicity 4)

=====

[14]
A relaxed LaGaHg2 crystal. Source: the Open Quantum Materials Database, functional PBE.

Cell: 6.689 12.027 4.970 Å, 90.00 90.00 90.00°
Space group Cmcm (No. 63)
One atom of each set of equivalent atoms:
1 La 0.000 0.170 0.250 (multiplicity 4)
2 Ga 0.000 0.341 0.750 (multiplicity 4)
3 Hg 0.235 0.420 0.250 (multiplicity 8)

=====

[15]
A relaxed ScPaTl crystal. Source: the Open Quantum Materials Database, functional PBE.

Summary:
Energy above the most stable polymorph in this dataset, meV per atom: 0

Cell: 7.122 7.122 7.122 Å, 90.00 90.00 90.00°
Space group F-43m (No. 216)
One atom of each set of equivalent atoms:
1 Sc 0.000 0.000 0.000 (multiplicity 4)
2 Pa 0.000 0.000 0.500 (multiplicity 4)
3 Tl 0.250 0.250 0.750 (multiplicity 4)

=====

[16]
A relaxed PrSi2Ir crystal. Source: the Open Quantum Materials Database, functional PBE.

Cell: 4.095 6.490 5.752 Å, 90.00 90.00 90.00°
Space group Pmmn (No. 59, origin choice 2)
One atom of each set of equivalent atoms:
1 Pr 0.250 0.250 0.123 (multiplicity 2)
2 Si 0.250 0.040 0.649 (multiplicity 4)
3 Ir 0.250 0.750 0.381 (multiplicity 2)

=====

[17]
A relaxed BaHgSeO crystal. Source: the Open Quantum Materials Database, functional PBE.

Cell: 6.959 7.529 7.931 Å, 90.00 90.00 90.00°
Space group P2_12_12_1 (No. 19)
One atom of each set of equivalent atoms:
1 Ba 0.189 0.079 0.439 (multiplicity 4)
2 Hg 0.197 0.559 0.355 (multiplicity 4)
3 Se 0.013 0.251 0.831 (multiplicity 4)
4 O 0.026 0.877 0.160 (multiplicity 4)

=====

[18]
A relaxed SrNdAgTe3 crystal. Source: the Open Quantum Materials Database, functional PBE.

Cell: 19.969 4.472 9.109 Å, 90.00 102.47 90.00°
Space group C2/m (No. 12)
One atom of each set of equivalent atoms:
1 Sr 0.126 0.000 0.074 (multiplicity 4)
2 Nd 0.164 0.000 0.593 (multiplicity 4)
3 Ag 0.040 0.500 0.711 (multiplicity 4)
4 Te 0.000 0.000 0.500 (multiplicity 2)
5 Te 0.000 0.500 0.000 (multiplicity 2)
6 Te 0.171 0.500 0.353 (multiplicity 4)
7 Te 0.184 0.500 0.845 (multiplicity 4)

=====

[19]
A relaxed LiLuGaPd crystal. Source: the Open Quantum Materials Database, functional PBE.

Summary:
Energy above the most stable polymorph in this dataset, meV per atom: 90

Cell: 6.475 6.475 6.475 Å, 90.00 90.00 90.00°
Space group F-43m (No. 216)
One atom of each set of equivalent atoms:
1 Li 0.000 0.000 0.000 (multiplicity 4)
2 Lu 0.250 0.250 0.250 (multiplicity 4)
3 Ga 0.000 0.000 0.500 (multiplicity 4)
4 Pd 0.250 0.250 0.750 (multiplicity 4)

=====

[20]
A relaxed AlGaFe2Co2Ni2 crystal. Source: the Open Quantum Materials Database, functional PBE.

Cell: 4.053 4.053 5.733 Å, 90.00 90.00 90.00°
Space group P-4m2 (No. 115)
One atom of each set of equivalent atoms:
1 Al 0.000 0.000 0.000 (multiplicity 1)
2 Ga 0.500 0.500 0.500 (multiplicity 1)
3 Fe 0.000 0.000 0.500 (multiplicity 1)
4 Fe 0.500 0.500 0.000 (multiplicity 1)
5 Co 0.000 0.500 0.249 (multiplicity 2)
6 Ni 0.000 0.500 0.750 (multiplicity 2)

=====

Number 1: volume 19.63 A^3/atom, calculated total energy -4.950 eV/atom. Number 2: volume 23.19 A^3/atom, calculated total energy -2.804 eV/atom. Number 3: volume 24.76 A^3/atom, calculated total energy -3.595 eV/atom. Number 4: volume 28.54 A^3/atom, calculated total energy -2.482 eV/atom. Number 5: volume 11.55 A^3/atom, calculated total energy -6.281 eV/atom. Number 6: volume 24.91 A^3/atom, calculated total energy -5.359 eV/atom. Number 7: volume 34.68 A^3/atom, calculated total energy -2.116 eV/atom. Number 8: volume 30.01 A^3/atom, calculated total energy -5.295 eV/atom. Number 9: volume 27.67 A^3/atom, calculated total energy -5.209 eV/atom. Number 10: volume 14.71 A^3/atom, calculated total energy -5.213 eV/atom. Number 11: volume 18.29 A^3/atom, calculated total energy -7.756 eV/atom. Number 12: volume 29.03 A^3/atom, calculated total energy -4.692 eV/atom. Number 13: volume 19.10 A^3/atom, calculated total energy -4.927 eV/atom. Number 14: volume 24.99 A^3/atom, calculated total energy -2.575 eV/atom. Number 15: volume 30.11 A^3/atom, calculated total energy -5.501 eV/atom. Number 16: volume 19.11 A^3/atom, calculated total energy -7.035 eV/atom. Number 17: volume 25.97 A^3/atom, calculated total energy -3.991 eV/atom. Number 18: volume 33.10 A^3/atom, calculated total energy -4.310 eV/atom. Number 19: volume 16.96 A^3/atom, calculated total energy -4.211 eV/atom. Number 20: volume 11.77 A^3/atom, calculated total energy -6.351 eV/atom.